A geometry-optimized Mg6ZnCoO8 structure. Source: Alexandria via LeMat-Bulk, functional PBE with a Hubbard U.

Summary:
The excess energy over the best structure of this formula in the dataset comes out at 0.04 eV per formula unit. The value obtained for the density of states at the Fermi level is 0.00 states/eV per atom. The theoretical density is 4.24 g cm⁻³.

Unit cell a=4.261 b=4.261 c=8.588 alpha=90.00 beta=90.00 gamma=90.00
Sites, in units of the cell vectors:
Mg: 0.000 0.000 0.000
Mg: 0.000 0.500 0.250
Mg: 0.000 0.500 0.750
Mg: 0.500 0.000 0.250
Mg: 0.500 0.000 0.750
Mg: 0.500 0.500 0.000
Zn: 0.000 0.000 0.500
Co: 0.500 0.500 0.500
O: 0.000 0.000 0.248
O: 0.000 0.000 0.752
O: 0.000 0.500 0.000
O: 0.000 0.500 0.500
O: 0.500 0.000 0.000
O: 0.500 0.000 0.500
O: 0.500 0.500 0.246
O: 0.500 0.500 0.754